1.
# Mg5CdIn2Ni2 GGA-PBE optimized geometry
data_Mg5CdIn2Ni2
_symmetry_space_group_name_H-M 'P 4/m b m'
_symmetry_Int_Tables_number 127
_symmetry_space_group_name_Hall '-P 4 2ab'
_cell_length_a 9.6857
_cell_length_b 9.6857
_cell_length_c 4.1444
_cell_angle_alpha 90.00
_cell_angle_beta 90.00
_cell_angle_gamma 90.00
loop_
_atom_site_label
_atom_site_fract_x
_atom_site_fract_y
_atom_site_fract_z
Mg1 0.0000 0.5000 0.0000
Mg2 0.0772 0.2107 0.0000
Cd1 0.0000 0.0000 0.5000
In1 0.1721 0.6721 0.5000
Ni1 0.1185 0.3815 0.5000
# Formation energy from the elements in eV/atom: -0.087


2.
# SmScCoCu GGA-PBE optimized geometry
data_SmScCoCu
_symmetry_space_group_name_H-M 'F -4 3 m'
_symmetry_Int_Tables_number 216
_symmetry_space_group_name_Hall 'F -4 2 3'
_cell_length_a 6.6868
_cell_length_b 6.6868
_cell_length_c 6.6868
_cell_angle_alpha 90.00
_cell_angle_beta 90.00
_cell_angle_gamma 90.00
loop_
_atom_site_label
_atom_site_fract_x
_atom_site_fract_y
_atom_site_fract_z
Sm1 0.0000 0.0000 0.0000
Sc1 0.0000 0.0000 0.5000
Co1 0.2500 0.2500 0.7500
Cu1 0.2500 0.2500 0.2500
# Formation energy from the elements in eV/atom: -0.152


3.
# La2Tb6Pm3Y GGA-PBE optimized geometry
data_La2Tb6Pm3Y
_symmetry_space_group_name_H-M 'C 1 2/m 1'
_symmetry_Int_Tables_number 12
_cell_length_a 6.2715
_cell_length_b 10.8609
_cell_length_c 11.9448
_cell_angle_alpha 90.00
_cell_angle_beta 100.06
_cell_angle_gamma 90.00
loop_
_symmetry_equiv_pos_as_xyz
'x,y,z'
'-x,-y,-z'
'-x,y,-z'
'x,-y,z'
'x+1/2,y+1/2,z'
'-x+1/2,-y+1/2,-z'
'-x+1/2,y+1/2,-z'
'x+1/2,-y+1/2,z'
loop_
_atom_site_label
_atom_site_fract_x
_atom_site_fract_y
_atom_site_fract_z
La1 0.0000 0.1663 0.0000
Tb1 0.2486 0.5000 0.7481
Tb2 0.2497 0.1664 0.7484
Pm1 0.0000 0.0000 0.5000
Pm2 0.0000 0.3334 0.5000
Y1 0.0000 0.5000 0.0000
# Formation energy from the elements in eV/atom: 0.015


4.
# Pr2Y2ErTm4 GGA-PBE optimized geometry
data_Pr2Y2ErTm4
_symmetry_space_group_name_H-M 'C 1 2/m 1'
_symmetry_Int_Tables_number 12
_cell_length_a 18.6237
_cell_length_b 3.5906
_cell_length_c 9.5381
_cell_angle_alpha 90.00
_cell_angle_beta 115.74
_cell_angle_gamma 90.00
loop_
_symmetry_equiv_pos_as_xyz
'x,y,z'
'-x,-y,-z'
'-x,y,-z'
'x,-y,z'
'x+1/2,y+1/2,z'
'-x+1/2,-y+1/2,-z'
'-x+1/2,y+1/2,-z'
'x+1/2,-y+1/2,z'
loop_
_atom_site_label
_atom_site_fract_x
_atom_site_fract_y
_atom_site_fract_z
Pr1 0.1649 0.0000 0.0014
Y1 0.1462 0.5000 0.6612
Er1 0.0000 0.5000 0.0000
Tm1 0.0197 0.0000 0.3344
Tm2 0.1850 0.5000 0.3375
# Formation energy from the elements in eV/atom: 0.001


5.
# HoGeSe3 GGA-PBE optimized geometry
data_HoGeSe3
_symmetry_space_group_name_H-M 'A m a 2'
_symmetry_Int_Tables_number 40
_cell_length_a 4.4131
_cell_length_b 22.5592
_cell_length_c 6.4834
_cell_angle_alpha 90.00
_cell_angle_beta 90.00
_cell_angle_gamma 90.00
loop_
_symmetry_equiv_pos_as_xyz
'x,y,z'
'-x,-y,z'
'-x+1/2,y,z'
'x+1/2,-y,z'
'x,y+1/2,z+1/2'
'-x,-y+1/2,z+1/2'
'-x+1/2,y+1/2,z+1/2'
'x+1/2,-y+1/2,z+1/2'
loop_
_atom_site_label
_atom_site_fract_x
_atom_site_fract_y
_atom_site_fract_z
Ho1 0.2500 0.1731 0.0000
Ge1 0.2500 0.3811 0.9230
Se1 0.2500 0.0797 0.3000
Se2 0.2500 0.2797 0.7549
Se3 0.2500 0.3816 0.3004
# Offset from the most stable computed form in eV/atom: 0.000
# Raw formation energy in meV per atom: -980


6.
# MnSbAu2 GGA-PBE optimized geometry
data_MnSbAu2
_symmetry_space_group_name_H-M 'P m m m'
_symmetry_Int_Tables_number 47
_cell_length_a 3.5725
_cell_length_b 3.7593
_cell_length_c 5.7809
_cell_angle_alpha 90.00
_cell_angle_beta 90.00
_cell_angle_gamma 90.00
loop_
_symmetry_equiv_pos_as_xyz
'x,y,z'
'-x,-y,-z'
'-x,-y,z'
'x,y,-z'
'x,-y,-z'
'-x,y,z'
'-x,y,-z'
'x,-y,z'
loop_
_atom_site_label
_atom_site_fract_x
_atom_site_fract_y
_atom_site_fract_z
Mn1 0.0000 0.0000 0.0000
Sb1 0.0000 0.0000 0.5000
Au1 0.5000 0.5000 0.2361
# Raw formation energy in meV per atom: 40


Number 1: energy -2.68 eV/atom, V 389 Å³ per cell. Number 2: energy -5.71 eV/atom, V 299 Å³ per cell. Number 3: energy -4.85 eV/atom, V 801 Å³ per cell. Number 4: energy -4.99 eV/atom, V 575 Å³ per cell. Number 5: energy -4.91 eV/atom, V 645 Å³ per cell. Number 6: energy -4.92 eV/atom, V 78 Å³ per cell.